Entry 1:
DFT (PBE) results for a geometry-optimized Zr6Tl2HO structure.

It has space group I4/mmm (No. 139), with a = 6.388 Å, b = 6.388 Å, c = 9.093 Å, α = 90.00°, β = 90.00° and γ = 90.00°. The asymmetric unit holds Zr at (0.000, 0.000, 0.245), Zr at (0.245, 0.245, 0.000), Tl at (0.000, 0.500, 0.250), H at (0.000, 0.000, 0.000) and O at (0.000, 0.000, 0.500).

The calculated volume is 18.55 Å³/atom. For the electronic total energy, the calculation gives -7.0974 eV/atom.



Entry 2:
DFT (PBE) results for a geometry-optimized MgSnIr2 structure.

It has space group Fm-3m (No. 225), with a = 6.366 Å, b = 6.366 Å, c = 6.366 Å, α = 90.00°, β = 90.00° and γ = 90.00°. The asymmetric unit holds Mg at (0.000, 0.000, 0.000), Sn at (0.000, 0.000, 0.500) and Ir at (0.250, 0.250, 0.250).

The calculated volume is 16.13 Å³/atom. The formation energy is -0.331 eV per atom.



Entry 3:
DFT (PBE) results for a geometry-optimized CsPmTl2Br6 structure.

It has space group R3 (No. 146, hexagonal axes), with a = 8.3568 Å, b = 8.3568 Å, c = 21.9598 Å, α = 90.00°, β = 90.00° and γ = 120.00°. The asymmetric unit holds Cs at (0.0000, 0.0000, 0.0000), Pm at (0.0000, 0.0000, 0.4848), Tl at (0.0000, 0.0000, 0.2855), Tl at (0.0000, 0.0000, 0.7990), Br at (0.0217, 0.3030, 0.5543) and Br at (0.0274, 0.7458, 0.3998).

The calculated volume is 44.27 Å³/atom. The calculation puts the formation energy without anion corrections at -1476 meV/atom.



So what do the calculations give for density? Going down the list: 8.709; 13.577; 4.374 g cm⁻³.